Record 1
A plane-wave DFT calculation with GGA-PBE was carried out for an optimized crystal structure of Nd2Sc4Ge3O2.

total moment	0.9	μB per cell
ΔE_f (raw)	-1.652	eV/atom
E	-6.98	eV per atom
ρ	5.46	g/cm3

Cell lengths 12.145, 12.145, 12.145 Å; angles 159.55, 159.55, 29.07 degrees
Fractional coordinates of all 11 atoms:
Nd 0.195 0.195 0.000
Nd 0.805 0.805 0.000
Sc 0.077 0.577 0.500
Sc 0.423 0.923 0.500
Sc 0.577 0.077 0.500
Sc 0.923 0.423 0.500
Ge 0.333 0.333 0.000
Ge 0.500 0.500 0.000
Ge 0.667 0.667 0.000
O 0.086 0.086 0.000
O 0.914 0.914 0.000

Record 2
A plane-wave DFT calculation with GGA-PBE was carried out for an optimized crystal structure of LiHg2I2.

total moment	0.0	μB per cell
ΔE_f (raw)	-0.283	eV/atom
E	-1.41	eV per atom
ρ	6.22	g/cm3

Cell lengths 6.283, 6.283, 6.283 Å; angles 119.50, 119.50, 90.88 degrees
Fractional coordinates of all 5 atoms:
Li 0.000 0.000 0.000
Hg 0.342 0.342 0.000
Hg 0.658 0.658 0.000
I 0.250 0.750 0.500
I 0.750 0.250 0.500

Record 3
A plane-wave DFT calculation with GGA-PBE was carried out for an optimized crystal structure of NaAcO2.

total moment	0.0	μB per cell
ΔE_f (raw)	-2.594	eV/atom
E	-6.43	eV per atom
ρ	6.32	g/cm3

Cell lengths 7.010, 7.010, 7.010 Å; angles 138.74, 138.74, 59.77 degrees
Fractional coordinates of all 8 atoms:
Na 0.375 0.625 0.750
Na 0.625 0.375 0.250
Ac 0.125 0.875 0.250
Ac 0.875 0.125 0.750
O 0.087 0.337 0.750
O 0.337 0.087 0.250
O 0.663 0.913 0.750
O 0.913 0.663 0.250

Record 4
A plane-wave DFT calculation with GGA-PBE was carried out for an optimized crystal structure of UCo2As3.

total moment	4.8	μB per cell
E	-6.93	eV per atom
ρ	9.76	g/cm3
energy of formation from the pure elements	-204	kJ/mol of formula units

Cell lengths 3.596, 10.287, 5.340 Å; angles 90.00, 90.00, 90.00 degrees
Fractional coordinates of all 12 atoms:
U 0.000 0.110 0.000
U 0.000 0.890 0.500
Co 0.000 0.250 0.453
Co 0.000 0.750 0.953
Co 0.500 0.473 0.474
Co 0.500 0.527 0.974
As 0.000 0.403 0.775
As 0.000 0.597 0.275
As 0.500 0.114 0.567
As 0.500 0.314 0.169
As 0.500 0.686 0.669
As 0.500 0.886 0.067

> What is the E in the third record?

-6.43 eV per atom

> Among the records above, which one has the lowest E?

Nd2Sc4Ge3O2

> Which of these has the lowest ρ?

Nd2Sc4Ge3O2

> Among the records above, which one has the highest ρ?

UCo2As3